! meta-GGA SCAN InIrRhO2, single point on PBEsol structure; values from VASP
! magnetic moment: 3.80 μB per cell
! space-group type: No. 123
! raw formation energy: 0.8273 eV/atom
! calculated density: 9.1 Mg/m³
&SYSTEM
  ibrav = 0, nat = 5, ntyp = 4
/
ATOMIC_SPECIES
In 114.82 In.upf
Ir 192.22 Ir.upf
Rh 102.91 Rh.upf
O 16.00 O.upf
CELL_PARAMETERS angstrom
3.8742 0.0000 0.0000
0.0000 3.8742 0.0000
0.0000 0.0000 5.3608
ATOMIC_POSITIONS angstrom
In 0.0000 0.0000 0.0000
Ir 1.9371 1.9371 2.6804
Rh 0.0000 0.0000 2.6804
O 0.0000 1.9371 0.0000
O 1.9371 0.0000 0.0000

---

! meta-GGA SCAN YInIr2O, single point on PBEsol structure; values from VASP
! magnetic moment: 2.28 μB per cell
! space-group type: No. 123
! raw formation energy: 1.4889 eV/atom
! calculated density: 7.9 Mg/m³
&SYSTEM
  ibrav = 0, nat = 5, ntyp = 4
/
ATOMIC_SPECIES
Y 88.91 Y.upf
In 114.82 In.upf
Ir 192.22 Ir.upf
O 16.00 O.upf
CELL_PARAMETERS angstrom
4.7451 0.0000 0.0000
0.0000 4.7451 0.0000
0.0000 0.0000 5.6666
ATOMIC_POSITIONS angstrom
Y 0.0000 0.0000 0.0000
In 0.0000 0.0000 2.8333
Ir 0.0000 2.3726 2.8333
Ir 2.3726 0.0000 2.8333
O 2.3726 2.3726 0.0000

---

! meta-GGA SCAN InIrOs2, single point on PBEsol structure; values from VASP
! magnetic moment: 2.42 μB per cell
! E_form: 265 kJ/mol of formula units
! space-group type: No. 216
! calculated density: 18.5 Mg/m³
&SYSTEM
  ibrav = 0, nat = 4, ntyp = 3
/
ATOMIC_SPECIES
In 114.82 In.upf
Ir 192.22 Ir.upf
Os 190.23 Os.upf
CELL_PARAMETERS angstrom
0.0000 3.1374 3.1374
3.1374 0.0000 3.1374
3.1374 3.1374 0.0000
ATOMIC_POSITIONS angstrom
In 0.0000 0.0000 0.0000
Ir 1.5687 1.5687 1.5687
Os 3.1374 3.1374 3.1374
Os 4.7061 4.7061 4.7061

---

! meta-GGA SCAN InIrOs2, single point on PBEsol structure; values from VASP
! magnetic moment: 0.00 μB per cell
! E_form: 120 kJ/mol of formula units
! space-group type: No. 25
! calculated density: 18.6 Mg/m³
&SYSTEM
  ibrav = 0, nat = 4, ntyp = 3
/
ATOMIC_SPECIES
In 114.82 In.upf
Ir 192.22 Ir.upf
Os 190.23 Os.upf
CELL_PARAMETERS angstrom
2.8012 0.0000 0.0000
0.0000 3.8022 0.0000
0.0000 0.0000 5.7587
ATOMIC_POSITIONS angstrom
In 0.0000 0.0000 0.0000
Ir 1.4006 1.9011 1.4696
Os 0.0000 0.0000 2.9223
Os 1.4006 1.9011 4.1168

---

! meta-GGA SCAN InIrOs2, single point on PBEsol structure; values from VASP
! magnetic moment: 0.00 μB per cell
! E_form: 166 kJ/mol of formula units
! space-group type: No. 139
! calculated density: 18.9 Mg/m³
&SYSTEM
  ibrav = 0, nat = 4, ntyp = 3
/
ATOMIC_SPECIES
In 114.82 In.upf
Ir 192.22 Ir.upf
Os 190.23 Os.upf
CELL_PARAMETERS angstrom
-1.9481 1.9481 3.9846
1.9481 -1.9481 3.9846
1.9481 1.9481 -3.9846
ATOMIC_POSITIONS angstrom
In 0.0000 0.0000 0.0000
Ir 0.0000 0.0000 3.9846
Os 1.9481 0.0000 1.9923
Os 0.0000 1.9481 1.9923

---

! meta-GGA SCAN InIrOs2, single point on PBEsol structure; values from VASP
! magnetic moment: 0.00 μB per cell
! E_form: 219 kJ/mol of formula units
! space-group type: No. 44
! calculated density: 18.2 Mg/m³
&SYSTEM
  ibrav = 0, nat = 4, ntyp = 3
/
ATOMIC_SPECIES
In 114.82 In.upf
Ir 192.22 Ir.upf
Os 190.23 Os.upf
CELL_PARAMETERS angstrom
-1.3918 2.3444 4.7932
1.3918 -2.3444 4.7932
1.3918 2.3444 -4.7932
ATOMIC_POSITIONS angstrom
In 0.0000 0.0000 0.0000
Ir 1.3918 0.0000 2.5620
Os 0.0000 0.0000 4.8583
Os 0.0000 2.3444 2.2149